# VC2O6 (GGA+U, optimized geometry)
# * E above lowest polymorph: 0 meV per atom
# * density: 2.58 Mg/m³
data_VC2O6
_cell_length_a 4.6093
_cell_length_b 6.0642
_cell_length_c 9.0948
_cell_angle_alpha 90.00
_cell_angle_beta 120.14
_cell_angle_gamma 90.00
_space_group_name_H-M_alt 'P 1 21/c 1'
_space_group_IT_number 14
loop_
_space_group_symop_operation_xyz
'x,y,z'
'-x,-y,-z'
'-x,y+1/2,-z+1/2'
'x,-y+1/2,z+1/2'
loop_
_atom_site_label
_atom_site_type_symbol
_atom_site_fract_x
_atom_site_fract_y
_atom_site_fract_z
V1 V 0.0000 0.0000 0.0000
C1 C 0.3257 0.2168 0.8183
O1 O 0.0677 0.1679 0.8282
O2 O 0.3031 0.1994 0.1830
O3 O 0.3710 0.6830 0.5528